Material: Cu2ICl
Method: DFT, PBE
State: optimized geometry

Formation energy from raw total energies ... -220 meV/atom
V ... 96.2 Å³/cell
ΔE to the lowest computed polymorph ... 22.8 meV per atom

Unit cell a=4.0880 b=4.0880 c=6.6483 alpha=90.02 beta=90.02 gamma=60.00
Last column: nearest neighbours and their distance in Å.
Fractional coordinates of all 4 atoms:
Cu 0.0000 0.0000 0.0000  3 Cl 2.45-2.46, 1 I 2.59
Cu 0.6695 0.6695 0.5460  1 Cl 2.33, 3 I 2.58
I 0.0025 0.0025 0.3893  4 Cu 2.58-2.59
Cl 0.6681 0.6681 0.8966  4 Cu 2.33-2.46

=====

Material: BeS2I2
Method: DFT, PBE
State: optimized geometry

D(E_F) ... 5.60 states/eV/cell
Formation energy from raw total energies ... 356 meV/atom
V ... 241.8 Å³/cell
ΔE to the lowest computed polymorph ... 209.4 meV per atom

Unit cell a=6.6238 b=6.6238 c=5.5100 alpha=90.00 beta=90.00 gamma=90.00
Last column: nearest neighbours and their distance in Å.
Fractional coordinates of all 10 atoms:
Be 0.0000 0.0000 0.0000  4 S 2.39
Be 0.5000 0.5000 0.0000  4 S 2.39
S 0.1970 0.3030 0.0000  2 Be 2.39
S 0.3030 0.8030 0.0000  2 Be 2.39
S 0.6970 0.1970 0.0000  2 Be 2.39
S 0.8030 0.6970 0.0000  2 Be 2.39
I 0.1831 0.3169 0.5000  2 S 2.76
I 0.3169 0.8169 0.5000  2 S 2.76
I 0.6831 0.1831 0.5000  2 S 2.76
I 0.8169 0.6831 0.5000  2 S 2.76

=====

Material: MnBeSe2
Method: DFT, PBE
State: optimized geometry

D(E_F) ... 0.00 states/eV/cell
Formation energy from raw total energies ... -251 meV/atom
V ... 98.0 Å³/cell

Unit cell a=7.1388 b=7.1388 c=7.1388 alpha=33.37 beta=33.37 gamma=33.37
Last column: nearest neighbours and their distance in Å.
Fractional coordinates of all 4 atoms:
Mn 0.0000 0.0000 0.0000  6 Se 2.73
Be 0.5000 0.5000 0.5000  2 Se 2.02
Se 0.4002 0.4002 0.4002  1 Be 2.02
Se 0.5998 0.5998 0.5998  1 Be 2.02

=====

Material: La3Cu
Method: DFT, PBE
State: optimized geometry

D(E_F) ... 6.38 states/eV/cell
Formation energy from the elements ... -56.5 meV per atom
V ... 122.6 Å³/cell

Unit cell a=3.7080 b=3.7080 c=8.9161 alpha=90.00 beta=90.00 gamma=90.00
Last column: nearest neighbours and their distance in Å.
Fractional coordinates of all 4 atoms:
La 0.0000 0.0000 0.0000  12 La 3.71-3.77
La 0.5000 0.5000 0.3034  4 Cu 3.15, 1 La 3.51
La 0.5000 0.5000 0.6966  4 Cu 3.15, 1 La 3.51
Cu 0.0000 0.0000 0.5000  8 La 3.15

=====

Material: HoTh2Au
Method: DFT, PBE
State: optimized geometry

D(E_F) ... 4.45 states/eV/cell
Formation energy from the elements ... -140.9 meV per atom
V ... 119.7 Å³/cell
ΔE to the lowest computed polymorph ... 87.1 meV per atom

Unit cell a=10.5085 b=10.5085 c=10.5085 alpha=20.08 beta=20.08 gamma=20.08
Last column: nearest neighbours and their distance in Å.
Fractional coordinates of all 4 atoms:
Ho 0.0000 0.0000 0.0000  6 Th 3.55, 6 Ho 3.66
Th 0.2412 0.2412 0.2412  3 Au 3.13
Th 0.7588 0.7588 0.7588  3 Au 3.13
Au 0.5000 0.5000 0.5000  6 Th 3.13

=====

Material: Mg2Mn2Rh3
Method: DFT, PBE
State: optimized geometry

D(E_F) ... 6.13 states/eV/cell
Formation energy from the elements ... -177.6 meV per atom
V ... 114.1 Å³/cell

Unit cell a=4.3270 b=4.3270 c=7.4745 alpha=106.81 beta=106.81 gamma=59.88
Last column: nearest neighbours and their distance in Å.
Fractional coordinates of all 7 atoms:
Mg 0.1285 0.1285 0.3861  5 Rh 2.72-2.75, 3 Mg 2.97, 3 Mn 3.03
Mg 0.8715 0.8715 0.6139  5 Rh 2.72-2.75, 3 Mg 2.97, 3 Mn 3.03
Mn 0.3812 0.3812 0.1427  7 Rh 2.56-2.70
Mn 0.6188 0.6188 0.8573  7 Rh 2.56-2.70
Rh 0.0000 0.0000 0.0000  6 Mn 2.69-2.70, 2 Mg 2.72, 6 Rh 2.95-2.96
Rh 0.2588 0.2588 0.7758  4 Mn 2.56-2.59, 4 Mg 2.74-2.75
Rh 0.7412 0.7412 0.2242  4 Mn 2.56-2.59, 4 Mg 2.74-2.75

=====

Material: AcBi2Pd
Method: DFT, PBE
State: optimized geometry

D(E_F) ... 3.53 states/eV/cell
Formation energy from the elements ... -457.0 meV per atom
V ... 119.9 Å³/cell
ΔE to the lowest computed polymorph ... 231.8 meV per atom

Unit cell a=6.4297 b=6.4297 c=6.4297 alpha=44.76 beta=44.76 gamma=44.76
Last column: nearest neighbours and their distance in Å.
Fractional coordinates of all 4 atoms:
Ac 0.0000 0.0000 0.0000  8 Bi 3.45-3.80
Bi 0.2192 0.2192 0.2192  3 Pd 2.97
Bi 0.7808 0.7808 0.7808  3 Pd 2.97
Pd 0.5000 0.5000 0.5000  6 Bi 2.97

=====

Material: Li4BeAl3O8
Method: DFT, PBE
State: optimized geometry

D(E_F) ... 7.51 states/eV/cell
Formation energy from raw total energies ... -2448 meV/atom
V ... 128.8 Å³/cell

Unit cell a=5.7410 b=5.7410 c=5.7410 alpha=58.36 beta=58.36 gamma=58.36
Last column: nearest neighbours and their distance in Å.
Fractional coordinates of all 16 atoms:
Li 0.0000 0.0000 0.0000  6 O 2.11
Li 0.0000 0.5000 0.5000  6 O 2.10-2.11
Li 0.5000 0.0000 0.5000  6 O 2.10-2.11
Li 0.5000 0.5000 0.0000  6 O 2.10-2.11
Be 0.5000 0.5000 0.5000  6 O 1.91
Al 0.0000 0.0000 0.5000  6 O 1.91-1.92
Al 0.0000 0.5000 0.0000  6 O 1.91-1.92
Al 0.5000 0.0000 0.0000  6 O 1.91-1.92
O 0.2384 0.7378 0.7378  1 Be 1.91, 2 Al 1.91, 3 Li 2.11
O 0.2396 0.2396 0.2396  3 Al 1.92, 3 Li 2.10
O 0.2622 0.2622 0.7616  1 Be 1.91, 2 Al 1.91, 3 Li 2.11
O 0.2622 0.7616 0.2622  1 Be 1.91, 2 Al 1.91, 3 Li 2.11
O 0.7378 0.2384 0.7378  1 Be 1.91, 2 Al 1.91, 3 Li 2.11
O 0.7378 0.7378 0.2384  1 Be 1.91, 2 Al 1.91, 3 Li 2.11
O 0.7604 0.7604 0.7604  3 Al 1.92, 3 Li 2.10
O 0.7616 0.2622 0.2622  1 Be 1.91, 2 Al 1.91, 3 Li 2.11

=====

Which of these has the highest V?
BeS2I2

=====

Among the records above, which one has the highest V?
BeS2I2